[1]
# SmThSiSe | Alexandria via LeMat-Bulk | PBE | relaxed
data_SmThSiSe
_chemical_formula_sum 'Sm1 Th1 Si1 Se1'
_cell_length_a 4.233
_cell_length_b 4.233
_cell_length_c 7.340
_cell_angle_alpha 73.24
_cell_angle_beta 73.24
_cell_angle_gamma 60.00
_space_group_name_H-M_alt 'P 1'
_space_group_IT_number 1
_space_group_name_Hall 'P 1'
loop_
_atom_site_label
_atom_site_fract_x
_atom_site_fract_y
_atom_site_fract_z
Sm1 0.699 0.699 0.903
Th1 0.189 0.189 0.433
Si1 0.444 0.444 0.668
Se1 0.945 0.945 0.166
# theoretical density: 7.565 Mg/m³
# VASP energy: -6.51 eV/atom
# Fermi-level density of states: 0.479 states/eV/atom



[2]
# SmTl2SiSe4 | Alexandria via LeMat-Bulk | PBE | relaxed
data_SmTl2SiSe4
_chemical_formula_sum 'Sm2 Tl4 Si2 Se8'
_cell_length_a 8.532
_cell_length_b 8.532
_cell_length_c 8.640
_cell_angle_alpha 120.42
_cell_angle_beta 120.42
_cell_angle_gamma 89.98
_space_group_name_H-M_alt 'P 1'
_space_group_IT_number 1
_space_group_name_Hall 'P 1'
loop_
_atom_site_label
_atom_site_fract_x
_atom_site_fract_y
_atom_site_fract_z
Sm1 0.000 0.500 0.000
Sm2 0.000 0.500 0.500
Tl1 0.500 0.000 0.000
Tl2 0.500 0.000 0.500
Tl3 0.000 0.000 0.500
Tl4 0.500 0.500 0.000
Si1 0.500 0.500 0.500
Si2 0.000 0.000 0.000
Se1 0.203 0.759 0.981
Se2 0.741 0.297 0.519
Se3 0.259 0.703 0.481
Se4 0.797 0.241 0.019
Se5 0.759 0.741 0.952
Se6 0.759 0.741 0.548
Se7 0.241 0.259 0.452
Se8 0.241 0.259 0.048
# theoretical density: 6.829 Mg/m³
# VASP energy: -4.30 eV/atom
# Fermi-level density of states: 0.502 states/eV/atom



[3]
# SmTlSiSe4 | Alexandria via LeMat-Bulk | PBE | relaxed
data_SmTlSiSe4
_chemical_formula_sum 'Sm2 Tl2 Si2 Se8'
_cell_length_a 6.775
_cell_length_b 6.920
_cell_length_c 9.041
_cell_angle_alpha 90.00
_cell_angle_beta 107.36
_cell_angle_gamma 90.00
_space_group_name_H-M_alt 'P 1'
_space_group_IT_number 1
_space_group_name_Hall 'P 1'
loop_
_atom_site_label
_atom_site_fract_x
_atom_site_fract_y
_atom_site_fract_z
Sm1 0.767 0.750 0.446
Sm2 0.233 0.250 0.554
Tl1 0.750 0.750 0.934
Tl2 0.250 0.250 0.066
Si1 0.221 0.750 0.321
Si2 0.779 0.250 0.679
Se1 0.004 0.506 0.719
Se2 0.996 0.006 0.281
Se3 0.996 0.494 0.281
Se4 0.004 0.994 0.719
Se5 0.417 0.750 0.158
Se6 0.583 0.250 0.842
Se7 0.414 0.750 0.576
Se8 0.586 0.250 0.424
# theoretical density: 5.736 Mg/m³
# VASP energy: -4.78 eV/atom
# Fermi-level density of states: 0.000 states/eV/atom



[4]
# Sm6TlSi2Se3 | Alexandria via LeMat-Bulk | PBE | relaxed
data_Sm6TlSi2Se3
_chemical_formula_sum 'Sm6 Tl1 Si2 Se3'
_cell_length_a 4.215
_cell_length_b 8.602
_cell_length_c 9.580
_cell_angle_alpha 105.55
_cell_angle_beta 102.71
_cell_angle_gamma 90.00
_space_group_name_H-M_alt 'P 1'
_space_group_IT_number 1
_space_group_name_Hall 'P 1'
loop_
_atom_site_label
_atom_site_fract_x
_atom_site_fract_y
_atom_site_fract_z
Sm1 0.328 0.908 0.655
Sm2 0.671 0.572 0.342
Sm3 0.672 0.092 0.345
Sm4 0.001 0.266 0.002
Sm5 0.999 0.734 0.998
Sm6 0.329 0.428 0.658
Tl1 0.500 0.000 0.000
Si1 0.835 0.672 0.670
Si2 0.165 0.328 0.330
Se1 0.500 0.500 0.000
Se2 0.834 0.171 0.667
Se3 0.166 0.829 0.333
# theoretical density: 7.133 Mg/m³
# VASP energy: -5.54 eV/atom
# Fermi-level density of states: 0.465 states/eV/atom



[5]
# SiSnSe2 | Alexandria via LeMat-Bulk | PBE | relaxed
data_SiSnSe2
_chemical_formula_sum 'Si1 Sn1 Se2'
_cell_length_a 9.113
_cell_length_b 9.113
_cell_length_c 9.113
_cell_angle_alpha 22.59
_cell_angle_beta 22.59
_cell_angle_gamma 22.59
_space_group_name_H-M_alt 'P 1'
_space_group_IT_number 1
_space_group_name_Hall 'P 1'
loop_
_atom_site_label
_atom_site_fract_x
_atom_site_fract_y
_atom_site_fract_z
Si1 0.500 0.500 0.500
Sn1 0.000 0.000 0.000
Se1 0.887 0.887 0.887
Se2 0.113 0.113 0.113
# theoretical density: 5.166 Mg/m³
# offset from the most stable computed form: 0.000 eV/atom
# VASP energy: -4.28 eV/atom
# Fermi-level density of states: 0.391 states/eV/atom



[6]
# Si3SnSe | Alexandria via LeMat-Bulk | PBE | relaxed
data_Si3SnSe
_chemical_formula_sum 'Si3 Sn1 Se1'
_cell_length_a 4.919
_cell_length_b 4.919
_cell_length_c 4.919
_cell_angle_alpha 90.00
_cell_angle_beta 90.00
_cell_angle_gamma 90.00
_space_group_name_H-M_alt 'P 1'
_space_group_IT_number 1
_space_group_name_Hall 'P 1'
loop_
_atom_site_label
_atom_site_fract_x
_atom_site_fract_y
_atom_site_fract_z
Si1 0.000 0.500 0.000
Si2 0.000 0.000 0.500
Si3 0.500 0.000 0.000
Sn1 0.500 0.500 0.500
Se1 0.000 0.000 0.000
# theoretical density: 3.932 Mg/m³
# offset from the most stable computed form: 0.000 eV/atom
# VASP energy: -3.83 eV/atom
# Fermi-level density of states: 0.414 states/eV/atom



[7]
# Si2Sn2Se | Alexandria via LeMat-Bulk | PBE | relaxed
data_Si2Sn2Se
_chemical_formula_sum 'Si2 Sn2 Se1'
_cell_length_a 3.633
_cell_length_b 3.633
_cell_length_c 8.783
_cell_angle_alpha 78.06
_cell_angle_beta 78.06
_cell_angle_gamma 90.00
_space_group_name_H-M_alt 'P 1'
_space_group_IT_number 1
_space_group_name_Hall 'P 1'
loop_
_atom_site_label
_atom_site_fract_x
_atom_site_fract_y
_atom_site_fract_z
Si1 0.750 0.250 0.500
Si2 0.250 0.750 0.500
Sn1 0.394 0.394 0.212
Sn2 0.606 0.606 0.788
Se1 0.000 0.000 0.000
# theoretical density: 5.581 Mg/m³
# VASP energy: -4.33 eV/atom
# Fermi-level density of states: 0.410 states/eV/atom



[8]
# Si5Sn3Se12 | Alexandria via LeMat-Bulk | PBE | relaxed
data_Si5Sn3Se12
_chemical_formula_sum 'Si20 Sn12 Se48'
_cell_length_a 13.770
_cell_length_b 13.770
_cell_length_c 13.770
_cell_angle_alpha 109.47
_cell_angle_beta 109.47
_cell_angle_gamma 109.47
_space_group_name_H-M_alt 'P 1'
_space_group_IT_number 1
_space_group_name_Hall 'P 1'
loop_
_atom_site_label
_atom_site_fract_x
_atom_site_fract_y
_atom_site_fract_z
Sn1 0.750 0.375 0.125
Sn2 0.875 0.750 0.125
Sn3 0.375 0.750 0.625
Sn4 0.250 0.125 0.375
Sn5 0.875 0.125 0.250
Sn6 0.375 0.625 0.250
Sn7 0.625 0.375 0.750
Sn8 0.125 0.875 0.750
Sn9 0.750 0.875 0.625
Sn10 0.625 0.250 0.375
Sn11 0.125 0.250 0.875
Sn12 0.250 0.625 0.875
Si1 0.125 0.375 0.250
Si2 0.000 0.500 0.000
Si3 0.000 0.000 0.000
Si4 0.375 0.250 0.125
Si5 0.500 0.000 0.500
Si6 0.500 0.500 0.000
Si7 0.125 0.750 0.375
Si8 0.750 0.125 0.875
Si9 0.750 0.625 0.375
Si10 0.375 0.125 0.750
Si11 0.625 0.875 0.250
Si12 0.500 0.500 0.500
Si13 0.500 0.000 0.000
Si14 0.000 0.000 0.500
Si15 0.250 0.375 0.625
Si16 0.250 0.875 0.125
Si17 0.000 0.500 0.500
Si18 0.875 0.250 0.625
Si19 0.625 0.750 0.875
Si20 0.875 0.625 0.750
Se1 0.708 0.118 0.024
Se2 0.316 0.524 0.406
Se3 0.976 0.382 0.292
Se4 0.524 0.208 0.118
Se5 0.589 0.708 0.684
Se6 0.976 0.594 0.184
Se7 0.316 0.792 0.411
Se8 0.094 0.911 0.118
Se9 0.594 0.976 0.684
Se10 0.708 0.589 0.184
Se11 0.792 0.476 0.382
Se12 0.816 0.906 0.024
Se13 0.118 0.708 0.524
Se14 0.382 0.406 0.089
Se15 0.089 0.906 0.382
Se16 0.411 0.118 0.594
Se17 0.089 0.184 0.208
Se18 0.476 0.684 0.094
Se19 0.816 0.911 0.292
Se20 0.118 0.411 0.094
Se21 0.382 0.976 0.792
Se22 0.594 0.618 0.411
Se23 0.906 0.816 0.524
Se24 0.792 0.316 0.911
Se25 0.406 0.382 0.589
Se26 0.094 0.184 0.476
Se27 0.208 0.684 0.089
Se28 0.184 0.089 0.708
Se29 0.618 0.024 0.208
Se30 0.882 0.589 0.906
Se31 0.524 0.316 0.906
Se32 0.589 0.882 0.406
Se33 0.911 0.816 0.792
Se34 0.911 0.094 0.618
Se35 0.882 0.292 0.476
Se36 0.184 0.094 0.976
Se37 0.618 0.594 0.911
Se38 0.406 0.024 0.316
Se39 0.292 0.411 0.816
Se40 0.208 0.524 0.618
Se41 0.906 0.089 0.882
Se42 0.684 0.208 0.589
Se43 0.476 0.792 0.882
Se44 0.024 0.406 0.816
Se45 0.411 0.292 0.316
Se46 0.024 0.618 0.708
Se47 0.684 0.476 0.594
Se48 0.292 0.882 0.976
# theoretical density: 4.772 Mg/m³
# VASP energy: -4.28 eV/atom
# Fermi-level density of states: 0.375 states/eV/atom



The evaluated energy relative to the elements, uncorrected for the records listed, in turn: -1.251, -0.697, -1.001, -1.206, -0.178, 0.925, 0.136, -0.238 eV per atom.